# 1
An optimized crystal structure of YRePb2. Source: Alexandria via LeMat-Bulk, functional PBE.

a = 3.492 Å, b = 4.807 Å, c = 5.776 Å
α = 90.00°, β = 98.27°, γ = 90.00°
Fractional positions:
Y1 0.000 0.000 0.000
Re1 0.500 0.000 0.500
Pb1 0.342 0.500 0.735
Pb2 0.658 0.500 0.265

DFT total energy, eV per atom: -6.18
Space-group type: P2/m (10)
D(E_F), states/eV per cell: 3.13
Formation energy, eV/atom: 0.41
Distance to the lowest polymorph of the same formula, eV per atom: 0.0705

# 2
An optimized crystal structure of YRePb2. Source: Alexandria via LeMat-Bulk, functional PBE.

a = 10.344 Å, b = 10.344 Å, c = 10.344 Å
α = 19.05°, β = 19.05°, γ = 19.05°
Fractional positions:
Y1 0.000 0.000 0.000
Re1 0.265 0.265 0.265
Pb1 0.530 0.530 0.530
Pb2 0.762 0.762 0.762

DFT total energy, eV per atom: -6.15
Space-group type: R3m (160)
D(E_F), states/eV per cell: 2.17
Formation energy, eV/atom: 0.43
Distance to the lowest polymorph of the same formula, eV per atom: 0.0951

# 3
An optimized crystal structure of YRePb2. Source: Alexandria via LeMat-Bulk, functional PBE.

a = 5.152 Å, b = 5.152 Å, c = 5.152 Å
α = 60.00°, β = 60.00°, γ = 60.00°
Fractional positions:
Y1 0.000 0.000 0.000
Re1 0.750 0.750 0.750
Pb1 0.250 0.250 0.250
Pb2 0.500 0.500 0.500

DFT total energy, eV per atom: -6.01
Space-group type: F-43m (216)
D(E_F), states/eV per cell: 4.36
Formation energy, eV/atom: 0.57
Distance to the lowest polymorph of the same formula, eV per atom: 0.2369

# 4
An optimized crystal structure of YRePb2. Source: Alexandria via LeMat-Bulk, functional PBE.

a = 5.134 Å, b = 5.134 Å, c = 5.592 Å
α = 102.77°, β = 102.77°, γ = 41.45°
Fractional positions:
Y1 0.000 0.000 0.000
Re1 0.500 0.500 0.500
Pb1 0.234 0.234 0.715
Pb2 0.766 0.766 0.285

DFT total energy, eV per atom: -6.21
Space-group type: C2/m (12)
D(E_F), states/eV per cell: 3.45
Formation energy, eV/atom: 0.37
Distance to the lowest polymorph of the same formula, eV per atom: 0.0308